Entry 1:
DFT (PBE) results for Tm2CdH after structural relaxation.

- space group = R-3m, No. 166
- VASP energy (eV for the cell shown) = -14.2

Cell and atoms, written as CIF:
```
data_Tm2CdH
_chemical_formula_sum 'Tm2 Cd1 H1'
_space_group_name_H-M_alt 'P 1'
_space_group_IT_number 1
_cell_length_a 7.950
_cell_length_b 7.950
_cell_length_c 7.950
_cell_angle_alpha 25.71
_cell_angle_beta 25.71
_cell_angle_gamma 25.71
loop_
_space_group_symop_operation_xyz
'x,y,z'
loop_
_atom_site_label
_atom_site_fract_x
_atom_site_fract_y
_atom_site_fract_z
Tm1 0.225 0.225 0.225
Tm2 0.775 0.775 0.775
Cd1 0.000 0.000 0.000
H1 0.500 0.500 0.500
```



Entry 2:
DFT (PBE) results for Tm3CdH after structural relaxation.

- space group = Pm-3m, No. 221
- VASP energy (eV for the cell shown) = -18.7

Cell and atoms, written as CIF:
```
data_Tm3CdH
_chemical_formula_sum 'Tm3 Cd1 H1'
_space_group_name_H-M_alt 'P 1'
_space_group_IT_number 1
_cell_length_a 4.783
_cell_length_b 4.783
_cell_length_c 4.783
_cell_angle_alpha 90.00
_cell_angle_beta 90.00
_cell_angle_gamma 90.00
loop_
_space_group_symop_operation_xyz
'x,y,z'
loop_
_atom_site_label
_atom_site_fract_x
_atom_site_fract_y
_atom_site_fract_z
Tm1 0.000 0.000 0.500
Tm2 0.000 0.500 0.000
Tm3 0.500 0.000 0.000
Cd1 0.500 0.500 0.500
H1 0.000 0.000 0.000
```



Entry 3:
DFT (PBE) results for TmCdH after structural relaxation.

- energy above the most stable polymorph in this dataset (meV/atom) = 92
- space group = P3m1, No. 156

Cell and atoms, written as CIF:
```
data_TmCdH
_chemical_formula_sum 'Tm1 Cd1 H1'
_space_group_name_H-M_alt 'P 1'
_space_group_IT_number 1
_cell_length_a 3.632
_cell_length_b 3.632
_cell_length_c 5.003
_cell_angle_alpha 90.00
_cell_angle_beta 90.00
_cell_angle_gamma 120.00
loop_
_space_group_symop_operation_xyz
'x,y,z'
loop_
_atom_site_label
_atom_site_fract_x
_atom_site_fract_y
_atom_site_fract_z
Tm1 0.000 0.000 0.000
Cd1 0.333 0.667 0.500
H1 0.667 0.333 0.002
```



Entry 4:
DFT (PBE) results for UCdH after structural relaxation.

- space group = P4/nmm, No. 129
- VASP energy (eV for the cell shown) = -30.9

Cell and atoms, written as CIF:
```
data_UCdH
_chemical_formula_sum 'U2 Cd2 H2'
_space_group_name_H-M_alt 'P 1'
_space_group_IT_number 1
_cell_length_a 2.943
_cell_length_b 2.943
_cell_length_c 10.930
_cell_angle_alpha 90.00
_cell_angle_beta 90.00
_cell_angle_gamma 90.00
loop_
_space_group_symop_operation_xyz
'x,y,z'
loop_
_atom_site_label
_atom_site_fract_x
_atom_site_fract_y
_atom_site_fract_z
U1 0.250 0.250 0.147
U2 0.750 0.750 0.853
Cd1 0.250 0.250 0.611
Cd2 0.750 0.750 0.389
H1 0.250 0.750 0.000
H2 0.750 0.250 0.000
```



Entry 5:
DFT (PBE) results for V5Cd3H12 after structural relaxation.

- space group = Ia-3d, No. 230
- VASP energy (eV for the cell shown) = -337.3

Cell and atoms, written as CIF:
```
data_V5Cd3H12
_chemical_formula_sum 'V20 Cd12 H48'
_space_group_name_H-M_alt 'P 1'
_space_group_IT_number 1
_cell_length_a 9.757
_cell_length_b 9.757
_cell_length_c 9.757
_cell_angle_alpha 109.47
_cell_angle_beta 109.47
_cell_angle_gamma 109.47
loop_
_space_group_symop_operation_xyz
'x,y,z'
loop_
_atom_site_label
_atom_site_fract_x
_atom_site_fract_y
_atom_site_fract_z
V1 0.000 0.000 0.000
V2 0.000 0.000 0.500
V3 0.000 0.500 0.000
V4 0.000 0.500 0.500
V5 0.125 0.750 0.875
V6 0.125 0.875 0.250
V7 0.250 0.125 0.875
V8 0.250 0.625 0.375
V9 0.375 0.250 0.625
V10 0.375 0.625 0.750
V11 0.500 0.000 0.000
V12 0.500 0.000 0.500
V13 0.500 0.500 0.000
V14 0.500 0.500 0.500
V15 0.625 0.375 0.250
V16 0.625 0.750 0.375
V17 0.750 0.375 0.625
V18 0.750 0.875 0.125
V19 0.875 0.125 0.750
V20 0.875 0.250 0.125
Cd1 0.125 0.250 0.375
Cd2 0.125 0.375 0.750
Cd3 0.250 0.375 0.125
Cd4 0.250 0.875 0.625
Cd5 0.375 0.125 0.250
Cd6 0.375 0.750 0.125
Cd7 0.625 0.250 0.875
Cd8 0.625 0.875 0.750
Cd9 0.750 0.125 0.375
Cd10 0.750 0.625 0.875
Cd11 0.875 0.625 0.250
Cd12 0.875 0.750 0.625
H1 0.005 0.690 0.056
H2 0.005 0.814 0.948
H3 0.052 0.556 0.866
H4 0.052 0.995 0.186
H5 0.056 0.005 0.690
H6 0.056 0.552 0.366
H7 0.134 0.686 0.690
H8 0.134 0.948 0.444
H9 0.186 0.052 0.995
H10 0.186 0.634 0.190
H11 0.190 0.186 0.634
H12 0.190 0.505 0.556
H13 0.310 0.866 0.314
H14 0.310 0.944 0.995
H15 0.314 0.310 0.866
H16 0.314 0.505 0.448
H17 0.366 0.056 0.552
H18 0.366 0.810 0.814
H19 0.444 0.134 0.948
H20 0.444 0.810 0.495
H21 0.448 0.314 0.505
H22 0.448 0.634 0.944
H23 0.495 0.444 0.810
H24 0.495 0.552 0.686
H25 0.505 0.448 0.314
H26 0.505 0.556 0.190
H27 0.552 0.366 0.056
H28 0.552 0.686 0.495
H29 0.556 0.190 0.505
H30 0.556 0.866 0.052
H31 0.634 0.190 0.186
H32 0.634 0.944 0.448
H33 0.686 0.495 0.552
H34 0.686 0.690 0.134
H35 0.690 0.056 0.005
H36 0.690 0.134 0.686
H37 0.810 0.495 0.444
H38 0.810 0.814 0.366
H39 0.814 0.366 0.810
H40 0.814 0.948 0.005
H41 0.866 0.052 0.556
H42 0.866 0.314 0.310
H43 0.944 0.448 0.634
H44 0.944 0.995 0.310
H45 0.948 0.005 0.814
H46 0.948 0.444 0.134
H47 0.995 0.186 0.052
H48 0.995 0.310 0.944
```



Entry 6:
DFT (PBE) results for V2CdH after structural relaxation.

- energy above the most stable polymorph in this dataset (meV/atom) = 0
- space group = I4_1/amd, No. 141

Cell and atoms, written as CIF:
```
data_V2CdH
_chemical_formula_sum 'V4 Cd2 H2'
_space_group_name_H-M_alt 'P 1'
_space_group_IT_number 1
_cell_length_a 5.353
_cell_length_b 5.353
_cell_length_c 5.353
_cell_angle_alpha 119.92
_cell_angle_beta 119.92
_cell_angle_gamma 90.13
loop_
_space_group_symop_operation_xyz
'x,y,z'
loop_
_atom_site_label
_atom_site_fract_x
_atom_site_fract_y
_atom_site_fract_z
V1 0.000 0.000 0.000
V2 0.000 0.000 0.500
V3 0.000 0.500 0.000
V4 0.500 0.000 0.500
Cd1 0.375 0.625 0.750
Cd2 0.625 0.375 0.250
H1 0.125 0.875 0.250
H2 0.875 0.125 0.750
```



Repeat the fifth record exactly.
DFT (PBE) results for V5Cd3H12 after structural relaxation.

- space group = Ia-3d, No. 230
- VASP energy (eV for the cell shown) = -337.3

Cell and atoms, written as CIF:
```
data_V5Cd3H12
_chemical_formula_sum 'V20 Cd12 H48'
_space_group_name_H-M_alt 'P 1'
_space_group_IT_number 1
_cell_length_a 9.757
_cell_length_b 9.757
_cell_length_c 9.757
_cell_angle_alpha 109.47
_cell_angle_beta 109.47
_cell_angle_gamma 109.47
loop_
_space_group_symop_operation_xyz
'x,y,z'
loop_
_atom_site_label
_atom_site_fract_x
_atom_site_fract_y
_atom_site_fract_z
V1 0.000 0.000 0.000
V2 0.000 0.000 0.500
V3 0.000 0.500 0.000
V4 0.000 0.500 0.500
V5 0.125 0.750 0.875
V6 0.125 0.875 0.250
V7 0.250 0.125 0.875
V8 0.250 0.625 0.375
V9 0.375 0.250 0.625
V10 0.375 0.625 0.750
V11 0.500 0.000 0.000
V12 0.500 0.000 0.500
V13 0.500 0.500 0.000
V14 0.500 0.500 0.500
V15 0.625 0.375 0.250
V16 0.625 0.750 0.375
V17 0.750 0.375 0.625
V18 0.750 0.875 0.125
V19 0.875 0.125 0.750
V20 0.875 0.250 0.125
Cd1 0.125 0.250 0.375
Cd2 0.125 0.375 0.750
Cd3 0.250 0.375 0.125
Cd4 0.250 0.875 0.625
Cd5 0.375 0.125 0.250
Cd6 0.375 0.750 0.125
Cd7 0.625 0.250 0.875
Cd8 0.625 0.875 0.750
Cd9 0.750 0.125 0.375
Cd10 0.750 0.625 0.875
Cd11 0.875 0.625 0.250
Cd12 0.875 0.750 0.625
H1 0.005 0.690 0.056
H2 0.005 0.814 0.948
H3 0.052 0.556 0.866
H4 0.052 0.995 0.186
H5 0.056 0.005 0.690
H6 0.056 0.552 0.366
H7 0.134 0.686 0.690
H8 0.134 0.948 0.444
H9 0.186 0.052 0.995
H10 0.186 0.634 0.190
H11 0.190 0.186 0.634
H12 0.190 0.505 0.556
H13 0.310 0.866 0.314
H14 0.310 0.944 0.995
H15 0.314 0.310 0.866
H16 0.314 0.505 0.448
H17 0.366 0.056 0.552
H18 0.366 0.810 0.814
H19 0.444 0.134 0.948
H20 0.444 0.810 0.495
H21 0.448 0.314 0.505
H22 0.448 0.634 0.944
H23 0.495 0.444 0.810
H24 0.495 0.552 0.686
H25 0.505 0.448 0.314
H26 0.505 0.556 0.190
H27 0.552 0.366 0.056
H28 0.552 0.686 0.495
H29 0.556 0.190 0.505
H30 0.556 0.866 0.052
H31 0.634 0.190 0.186
H32 0.634 0.944 0.448
H33 0.686 0.495 0.552
H34 0.686 0.690 0.134
H35 0.690 0.056 0.005
H36 0.690 0.134 0.686
H37 0.810 0.495 0.444
H38 0.810 0.814 0.366
H39 0.814 0.366 0.810
H40 0.814 0.948 0.005
H41 0.866 0.052 0.556
H42 0.866 0.314 0.310
H43 0.944 0.448 0.634
H44 0.944 0.995 0.310
H45 0.948 0.005 0.814
H46 0.948 0.444 0.134
H47 0.995 0.186 0.052
H48 0.995 0.310 0.944
```